# PBE Nd7Er3Sc, optimized geometry
# Energy relative to the elements: 117.8 meV per atom
# Final energy: -4.736 eV per atom
# Symmetry: No. 1
data_Nd7Er3Sc
_cell_length_a 7.032
_cell_length_b 10.073
_cell_length_c 11.139
_cell_angle_alpha 90.00
_cell_angle_beta 90.00
_cell_angle_gamma 70.15
_space_group_name_H-M_alt 'P 1'
_space_group_IT_number 1
loop_
_space_group_symop_operation_xyz
'x,y,z'
loop_
_atom_site_label
_atom_site_type_symbol
_atom_site_fract_x
_atom_site_fract_y
_atom_site_fract_z
_atom_site_occupancy
Nd1 Nd 0.000 0.000 0.000 1
Nd2 Nd 0.000 0.000 0.463 1
Nd3 Nd 0.059 0.845 0.731 1
Nd4 Nd 0.116 0.760 0.231 1
Nd5 Nd 0.251 0.495 0.732 1
Nd6 Nd 0.320 0.357 0.026 1
Nd7 Nd 0.320 0.357 0.437 1
Nd8 Nd 0.513 0.990 0.526 1
Nd9 Nd 0.513 0.991 0.937 1
Nd10 Nd 0.584 0.852 0.232 1
Nd11 Nd 0.717 0.587 0.731 1
Nd12 Nd 0.778 0.502 0.231 1
Nd13 Nd 0.833 0.347 0.963 1
Nd14 Nd 0.834 0.347 0.500 1
Er1 Er 0.152 0.182 0.732 1
Er2 Er 0.174 0.150 0.232 1
Er3 Er 0.417 0.674 0.982 1
Er4 Er 0.418 0.673 0.481 1
Er5 Er 0.660 0.197 0.732 1
Er6 Er 0.682 0.166 0.232 1
Sc1 Sc 0.917 0.673 0.482 1
Sc2 Sc 0.917 0.674 0.981 1

***

# PBE Nd3Er2Sc2, optimized geometry
# Energy relative to the elements: 45.0 meV per atom
# Final energy: -5.111 eV per atom
# Symmetry: No. 12
data_Nd3Er2Sc2
_cell_length_a 8.398
_cell_length_b 8.398
_cell_length_c 8.532
_cell_angle_alpha 117.61
_cell_angle_beta 117.61
_cell_angle_gamma 24.03
_space_group_name_H-M_alt 'P 1'
_space_group_IT_number 1
loop_
_space_group_symop_operation_xyz
'x,y,z'
loop_
_atom_site_label
_atom_site_type_symbol
_atom_site_fract_x
_atom_site_fract_y
_atom_site_fract_z
_atom_site_occupancy
Nd1 Nd 0.000 0.000 0.000 1
Nd2 Nd 0.295 0.295 0.708 1
Nd3 Nd 0.705 0.705 0.292 1
Er1 Er 0.368 0.368 0.181 1
Er2 Er 0.632 0.632 0.819 1
Sc1 Sc 0.070 0.070 0.434 1
Sc2 Sc 0.930 0.930 0.566 1

***

# PBE Nd3Er2Sc, optimized geometry
# Energy relative to the elements: 38.8 meV per atom
# Final energy: -4.921 eV per atom
# Symmetry: No. 11
data_Nd3Er2Sc
_cell_length_a 10.052
_cell_length_b 3.559
_cell_length_c 10.627
_cell_angle_alpha 90.00
_cell_angle_beta 90.48
_cell_angle_gamma 90.00
_space_group_name_H-M_alt 'P 1'
_space_group_IT_number 1
loop_
_space_group_symop_operation_xyz
'x,y,z'
loop_
_atom_site_label
_atom_site_type_symbol
_atom_site_fract_x
_atom_site_fract_y
_atom_site_fract_z
_atom_site_occupancy
Nd1 Nd 0.119 0.250 0.413 1
Nd2 Nd 0.365 0.750 0.913 1
Nd3 Nd 0.377 0.750 0.252 1
Nd4 Nd 0.623 0.250 0.748 1
Nd5 Nd 0.635 0.250 0.087 1
Nd6 Nd 0.881 0.750 0.587 1
Er1 Er 0.117 0.250 0.084 1
Er2 Er 0.368 0.750 0.584 1
Er3 Er 0.632 0.250 0.416 1
Er4 Er 0.883 0.750 0.916 1
Sc1 Sc 0.124 0.250 0.751 1
Sc2 Sc 0.876 0.750 0.249 1

***

# PBE NdEr6Sc2, optimized geometry
# Energy relative to the elements: 412.2 meV per atom
# Final energy: -4.566 eV per atom
# Symmetry: No. 160
data_NdEr6Sc2
_cell_length_a 7.505
_cell_length_b 7.505
_cell_length_c 7.505
_cell_angle_alpha 57.01
_cell_angle_beta 57.01
_cell_angle_gamma 57.01
_space_group_name_H-M_alt 'P 1'
_space_group_IT_number 1
loop_
_space_group_symop_operation_xyz
'x,y,z'
loop_
_atom_site_label
_atom_site_type_symbol
_atom_site_fract_x
_atom_site_fract_y
_atom_site_fract_z
_atom_site_occupancy
Nd1 Nd 0.000 0.000 0.000 1
Er1 Er 0.053 0.053 0.538 1
Er2 Er 0.053 0.538 0.053 1
Er3 Er 0.271 0.271 0.705 1
Er4 Er 0.271 0.705 0.271 1
Er5 Er 0.538 0.053 0.053 1
Er6 Er 0.705 0.271 0.271 1
Sc1 Sc 0.561 0.561 0.561 1
Sc2 Sc 0.737 0.737 0.737 1

***

# PBE NdEr8Sc4, optimized geometry
# Energy relative to the elements: 246.7 meV per atom
# Final energy: -4.876 eV per atom
# Symmetry: No. 166
data_NdEr8Sc4
_cell_length_a 9.672
_cell_length_b 9.672
_cell_length_c 9.672
_cell_angle_alpha 42.90
_cell_angle_beta 42.90
_cell_angle_gamma 42.90
_space_group_name_H-M_alt 'P 1'
_space_group_IT_number 1
loop_
_space_group_symop_operation_xyz
'x,y,z'
loop_
_atom_site_label
_atom_site_type_symbol
_atom_site_fract_x
_atom_site_fract_y
_atom_site_fract_z
_atom_site_occupancy
Nd1 Nd 0.000 0.000 0.000 1
Er1 Er 0.252 0.252 0.702 1
Er2 Er 0.252 0.702 0.252 1
Er3 Er 0.281 0.281 0.281 1
Er4 Er 0.298 0.748 0.748 1
Er5 Er 0.702 0.252 0.252 1
Er6 Er 0.719 0.719 0.719 1
Er7 Er 0.748 0.298 0.748 1
Er8 Er 0.748 0.748 0.298 1
Sc1 Sc 0.000 0.000 0.500 1
Sc2 Sc 0.000 0.500 0.000 1
Sc3 Sc 0.500 0.000 0.000 1
Sc4 Sc 0.500 0.500 0.500 1

***

# PBE NdEr2Sc, optimized geometry
# Energy relative to the elements: 48.5 meV per atom
# Final energy: -5.008 eV per atom
# Symmetry: No. 166
data_NdEr2Sc
_cell_length_a 11.500
_cell_length_b 11.500
_cell_length_c 11.500
_cell_angle_alpha 17.52
_cell_angle_beta 17.52
_cell_angle_gamma 17.52
_space_group_name_H-M_alt 'P 1'
_space_group_IT_number 1
loop_
_space_group_symop_operation_xyz
'x,y,z'
loop_
_atom_site_label
_atom_site_type_symbol
_atom_site_fract_x
_atom_site_fract_y
_atom_site_fract_z
_atom_site_occupancy
Nd1 Nd 0.000 0.000 0.000 1
Er1 Er 0.246 0.246 0.246 1
Er2 Er 0.754 0.754 0.754 1
Sc1 Sc 0.500 0.500 0.500 1

***

Which of these has the highest final energy? NdEr6Sc2

***

Copy entry 2 word for word.
# PBE Nd3Er2Sc2, optimized geometry
# Energy relative to the elements: 45.0 meV per atom
# Final energy: -5.111 eV per atom
# Symmetry: No. 12
data_Nd3Er2Sc2
_cell_length_a 8.398
_cell_length_b 8.398
_cell_length_c 8.532
_cell_angle_alpha 117.61
_cell_angle_beta 117.61
_cell_angle_gamma 24.03
_space_group_name_H-M_alt 'P 1'
_space_group_IT_number 1
loop_
_space_group_symop_operation_xyz
'x,y,z'
loop_
_atom_site_label
_atom_site_type_symbol
_atom_site_fract_x
_atom_site_fract_y
_atom_site_fract_z
_atom_site_occupancy
Nd1 Nd 0.000 0.000 0.000 1
Nd2 Nd 0.295 0.295 0.708 1
Nd3 Nd 0.705 0.705 0.292 1
Er1 Er 0.368 0.368 0.181 1
Er2 Er 0.632 0.632 0.819 1
Sc1 Sc 0.070 0.070 0.434 1
Sc2 Sc 0.930 0.930 0.566 1

***

Among the records above, which one has the lowest final energy? Nd3Er2Sc2

***

Look up the final energy of the sixth one. -5.008 eV per atom